# AcMgGe2Pd2

Crystalline AcMgGe2Pd2 at its relaxed geometry (PBE, Alexandria via LeMat-Bulk).

Calculated values
Formation enthalpy at 0 K in meV/atom: -760
Crystal system: trigonal
Spin magnetization in Bohr magnetons per cell: 0.00

a = 4.4144 Å, b = 4.4144 Å, c = 7.3546 Å
α = 90.00°, β = 90.00°, γ = 120.00°
Space group P-3m1 (No. 164)
Symmetry-distinct sites (fractional):
Ac  0.0000  0.0000  0.0000 (multiplicity 1)
Mg  0.0000  0.0000  0.5000 (multiplicity 1)
Ge  0.3333  0.6667  0.2855 (multiplicity 2)
Pd  0.3333  0.6667  0.6577 (multiplicity 2)

***

# AcMgGe2Pd

Crystalline AcMgGe2Pd at its relaxed geometry (PBE, Alexandria via LeMat-Bulk).

Calculated values
Formation enthalpy at 0 K in meV/atom: -721
Crystal system: tetragonal
Spin magnetization in Bohr magnetons per cell: 0.00

a = 4.392 Å, b = 4.392 Å, c = 11.224 Å
α = 90.00°, β = 90.00°, γ = 90.00°
Space group I-4m2 (No. 119)
Symmetry-distinct sites (fractional):
Ac  0.000  0.000  0.000 (multiplicity 2)
Mg  0.000  0.500  0.250 (multiplicity 2)
Ge  0.000  0.000  0.385 (multiplicity 4)
Pd  0.000  0.500  0.750 (multiplicity 2)

***

# AcMg2GePd2

Crystalline AcMg2GePd2 at its relaxed geometry (PBE, Alexandria via LeMat-Bulk).

Calculated values
Formation enthalpy at 0 K in meV/atom: -469
Crystal system: tetragonal
Spin magnetization in Bohr magnetons per cell: 0.00

a = 4.987 Å, b = 4.987 Å, c = 11.670 Å
α = 90.00°, β = 90.00°, γ = 90.00°
Space group I4/mmm (No. 139)
Symmetry-distinct sites (fractional):
Ac  0.000  0.000  0.000 (multiplicity 2)
Mg  0.000  0.500  0.250 (multiplicity 4)
Ge  0.000  0.000  0.500 (multiplicity 2)
Pd  0.000  0.000  0.297 (multiplicity 4)

***

What is the formula in the first record?
AcMgGe2Pd2

***

What is the formation enthalpy at 0 K in the first record?
-760 meV/atom